The following is a PBE calculation of a geometry-optimized Si2GeB structure, from Alexandria via LeMat-Bulk.

Geometry as POSCAR:
```
Si2GeB
1.0
-0.5306 -3.6353 0.2865
2.6685 -2.1504 1.3542
-1.6865 -1.1025 6.5863
Si Ge B
2 1 1
Direct
0.9033 0.9033 0.2900
0.0967 0.0967 0.7100
0.5000 0.5000 0.5000
0.0000 0.0000 0.0000
```

Properties
Electronic total energy = -4.618 eV/atom
Space-group type = R-3m (166)



The following is a PBE calculation of a geometry-optimized SiGeB3 structure, from Alexandria via LeMat-Bulk.

Geometry as POSCAR:
```
SiGeB3
1.0
4.1211 0.0000 0.0000
0.0000 4.1211 0.0000
0.0000 0.0000 4.1211
Si Ge B
1 1 3
Direct
0.5000 0.5000 0.5000
0.0000 0.0000 0.0000
0.5000 0.0000 0.0000
0.0000 0.0000 0.5000
0.0000 0.5000 0.0000
```

Properties
Electronic total energy = -3.996 eV/atom
Space-group type = Pm-3m (221)



The following is a PBE calculation of a geometry-optimized Si2GeB structure, from Alexandria via LeMat-Bulk.

Geometry as POSCAR:
```
Si2GeB
1.0
-1.6232 -2.4071 -3.1335
-4.1268 0.3532 -1.0453
-1.1171 1.7949 -3.7119
Ge B Si
1 1 2
Direct
0.5000 0.5000 0.5000
0.0000 0.0000 0.0000
0.2500 0.2500 0.2500
0.7500 0.7500 0.7500
```

Properties
Electronic total energy = -4.466 eV/atom
Space-group type = Fm-3m (225)



The following is a PBE calculation of a geometry-optimized SiGe2B structure, from Alexandria via LeMat-Bulk.

Geometry as POSCAR:
```
SiGe2B
1.0
2.9713 -2.1382 2.4031
-0.3284 -4.3331 0.5403
2.8741 -2.6727 -1.9421
B Ge Si
1 2 1
Direct
0.0000 0.0000 0.0000
0.7500 0.7500 0.7500
0.2500 0.2500 0.2500
0.5000 0.5000 0.5000
```

Properties
Electronic total energy = -4.302 eV/atom
Space-group type = Fm-3m (225)



The following is a PBE calculation of a geometry-optimized Si3GeB structure, from Alexandria via LeMat-Bulk.

Geometry as POSCAR:
```
Si3GeB
1.0
4.7198 0.0000 0.0000
0.0000 4.7198 0.0000
0.0000 0.0000 4.7198
B Si Ge
1 3 1
Direct
0.5000 0.5000 0.5000
0.5000 0.0000 0.0000
0.0000 0.5000 0.0000
0.0000 0.0000 0.5000
0.0000 0.0000 0.0000
```

Properties
Electronic total energy = -3.657 eV/atom
Space-group type = Pm-3m (221)



The following is a PBE calculation of a geometry-optimized Si2GeB structure, from Alexandria via LeMat-Bulk.

Geometry as POSCAR:
```
Si2GeB
1.0
5.1678 0.0000 0.0000
0.0000 5.1678 0.0000
2.5839 2.5839 5.0055
B Si Ge
2 4 2
Direct
0.5000 0.5000 0.0000
0.2500 0.7500 0.5000
0.5601 0.1250 0.2500
0.3750 0.4399 0.7500
0.8750 0.8101 0.7500
0.1899 0.6250 0.2500
0.0000 0.0000 0.0000
0.7500 0.2500 0.5000
```

Properties
Electronic total energy = -5.350 eV/atom
Space-group type = I-42d (122)



Number 1: calculated volume 19.3 Å³ per atom, formation energy without anion corrections 0.917 eV/atom. Number 2: calculated volume 14.0 Å³ per atom, formation energy without anion corrections 2.018 eV/atom. Number 3: calculated volume 13.8 Å³ per atom, formation energy without anion corrections 1.069 eV/atom. Number 4: calculated volume 14.8 Å³ per atom, formation energy without anion corrections 1.032 eV/atom. Number 5: calculated volume 21.0 Å³ per atom, formation energy without anion corrections 1.856 eV/atom. Number 6: calculated volume 16.7 Å³ per atom, formation energy without anion corrections 0.185 eV/atom.